The following is a PBE+U calculation of a geometry-optimized BeCr2NiO6 structure, from Alexandria.

The structure in CIF format:
```
data_BeCr2NiO6
_chemical_formula_sum 'Be1 Cr2 Ni1 O6'
_space_group_name_H-M_alt 'P 1'
_space_group_IT_number 1
_space_group_name_Hall 'P 1'
_cell_length_a 4.878
_cell_length_b 4.878
_cell_length_c 5.381
_cell_angle_alpha 63.05
_cell_angle_beta 63.05
_cell_angle_gamma 59.99
loop_
_atom_site_label
_atom_site_type_symbol
_atom_site_fract_x
_atom_site_fract_y
_atom_site_fract_z
_atom_site_occupancy
Be1 Be 0.262 0.263 0.212 1
Cr1 Cr 0.511 0.511 0.466 1
Cr2 Cr 0.023 0.023 0.932 1
Ni1 Ni 0.828 0.828 0.517 1
O1 O 0.592 0.231 0.236 1
O2 O 0.231 0.941 0.236 1
O3 O 0.941 0.592 0.236 1
O4 O 0.422 0.745 0.727 1
O5 O 0.745 0.107 0.727 1
O6 O 0.107 0.422 0.727 1
```

Output
Mass density: 4.71 g/cm3
Total magnetization: 0.600 μB/atom
DOS at the Fermi energy: 2.44 states/eV/f.u.
Total energy: -6.714 eV/atom
Space-group type: R3